Entry 1:
DFT (GGA-PBE) results for a geometry-optimized Mo2WBr structure.

Values from the calculation:
The energy relative to the elements, uncorrected is 0.488 eV/atom. The symmetry is P4/mmm (123). As for the distance to the lowest polymorph of the same formula: 62 meV/atom. Its total moment is 0.0000 μB per atom.

Cell lengths 3.100, 3.100, 7.120 Å; angles 90.00, 90.00, 90.00 degrees
Fractional positions:
Mo1 0.000 0.000 0.225
Mo2 0.000 0.000 0.775
W1 0.500 0.500 0.000
Br1 0.500 0.500 0.500

***

Entry 2:
DFT (GGA-PBE) results for a geometry-optimized Mo2WBr structure.

Values from the calculation:
The energy relative to the elements, uncorrected is 0.657 eV/atom. The symmetry is Cmm2 (35). As for the distance to the lowest polymorph of the same formula: 232 meV/atom. Its total moment is 0.0000 μB per atom.

Cell lengths 3.181, 4.817, 9.036 Å; angles 90.00, 90.00, 90.00 degrees
Fractional positions:
Mo1 0.000 0.000 0.000
Mo2 0.000 0.500 0.235
Mo3 0.500 0.000 0.235
Mo4 0.500 0.500 0.000
W1 0.000 0.500 0.768
W2 0.500 0.000 0.768
Br1 0.000 0.000 0.495
Br2 0.500 0.500 0.495

***

Entry 3:
DFT (GGA-PBE) results for a geometry-optimized MoWBr2 structure.

Values from the calculation:
The energy relative to the elements, uncorrected is 1.650 eV/atom. The symmetry is I-42d (122). As for the distance to the lowest polymorph of the same formula: 1495 meV/atom. Its total moment is 0.0000 μB per atom.

Cell lengths 5.903, 5.903, 10.447 Å; angles 90.00, 90.00, 90.00 degrees
Fractional positions:
Mo1 0.000 0.000 0.000
Mo2 0.000 0.500 0.250
Mo3 0.500 0.000 0.750
Mo4 0.500 0.500 0.500
W1 0.000 0.000 0.500
W2 0.000 0.500 0.750
W3 0.500 0.000 0.250
W4 0.500 0.500 0.000
Br1 0.248 0.250 0.625
Br2 0.250 0.748 0.875
Br3 0.250 0.752 0.375
Br4 0.252 0.250 0.125
Br5 0.748 0.750 0.125
Br6 0.750 0.248 0.375
Br7 0.750 0.252 0.875
Br8 0.752 0.750 0.625

***

Entry 4:
DFT (GGA-PBE) results for a geometry-optimized Mo2WBr structure.

Values from the calculation:
The energy relative to the elements, uncorrected is 0.874 eV/atom. The symmetry is C2/m (12). As for the distance to the lowest polymorph of the same formula: 448 meV/atom. Its total moment is 0.0000 μB per atom.

Cell lengths 9.618, 3.058, 4.682 Å; angles 90.00, 96.68, 90.00 degrees
Fractional positions:
Mo1 0.233 0.000 0.215
Mo2 0.267 0.500 0.785
Mo3 0.733 0.500 0.215
Mo4 0.767 0.000 0.785
W1 0.000 0.500 0.000
W2 0.500 0.000 0.000
Br1 0.000 0.000 0.500
Br2 0.500 0.500 0.500

***

What is the formula in the fourth record?
Mo2WBr